Record 1
## SrCo3Bi (PBE)

Data for a relaxed SrCo3Bi crystal.

- electronic total energy (eV per atom) = -4.510
- energy of formation (kJ per mole of atoms) = 84
- E above lowest polymorph (meV per atom) = 0

a = 4.9201 Å, b = 4.9201 Å, c = 4.9201 Å
α = 90.00°, β = 90.00°, γ = 90.00°
With the nearest neighbours (Å) after each atom.
Space group Pm-3m (No. 221)
Unique sites:
Sr 0.0000 0.0000 0.0000  12 Co 3.48
Co 0.0000 0.5000 0.5000  2 Bi 2.46
Bi 0.5000 0.5000 0.5000  6 Co 2.46

---

Record 2
## Cd11Hg4 (PBE)

Data for a relaxed Cd11Hg4 crystal.

- electronic total energy (eV per atom) = -0.715
- energy of formation (kJ per mole of atoms) = 4

a = 10.7363 Å, b = 10.7363 Å, c = 6.1200 Å
α = 90.00°, β = 90.00°, γ = 90.00°
With the nearest neighbours (Å) after each atom.
Space group P4_2/mnm (No. 136)
Unique sites:
Cd 0.0000 0.0000 0.0000  8 Cd 3.00-3.10
Cd 0.0722 0.2699 0.0000  4 Hg 2.99-3.23, 6 Cd 3.00-3.25
Cd 0.0956 0.0956 0.5000  1 Cd 2.90, 2 Hg 2.91
Cd 0.1773 0.8227 0.2515  7 Cd 3.04-3.25, 2 Hg 3.36
Hg 0.0470 0.3625 0.5000  5 Cd 2.91-3.23, 1 Hg 3.12

---

Record 3
## B2MoPCl (PBE)

Data for a relaxed B2MoPCl crystal.

- energy relative to the elements, uncorrected (eV per atom) = 1.59
- electronic total energy (eV per atom) = -4.701

a = 4.1704 Å, b = 4.1704 Å, c = 4.8770 Å
α = 90.00°, β = 90.00°, γ = 90.00°
With the nearest neighbours (Å) after each atom.
Space group P4/mmm (No. 123)
Unique sites:
B 0.0000 0.5000 0.0000  2 Mo 2.09
Mo 0.0000 0.0000 0.0000  4 B 2.09
P 0.5000 0.5000 0.5000  4 Cl 2.95, 8 B 3.21
Cl 0.0000 0.0000 0.5000  2 Mo 2.44

---

Question: The lowest electronic total energy belongs to which entry?
Answer: B2MoPCl

---

Question: What is the electronic total energy in the first record?
Answer: -4.510 eV per atom

---

Question: Among the records above, which one has the lowest electronic total energy?
Answer: B2MoPCl

---

Question: What is the electronic total energy in the second record?
Answer: -0.715 eV per atom